The following is a PBE with a Hubbard U calculation of crystalline Cs2AcMn2O6 at its relaxed geometry, from Alexandria.

Values from the calculation:
total DFT energy (no corrections): -6.363 eV/atom
magnetic moment: 21.0 Bohr magnetons per cell
density: 4.756 g/cm³
N(E_F): 0.3324 states/eV per atom

Cell: 6.4363 6.4363 20.3971 Å, 90.00 90.00 120.00°
Space group R-3m (No. 166, hexagonal axes)
Asymmetric unit:
Cs: 0.0000 0.0000 0.2077
Ac: 0.0000 0.0000 0.0000
Mn: 0.0000 0.0000 0.4105
O: 0.0141 0.5070 0.2560